Entry 1:
The following is a PBE calculation of an optimized crystal structure of DyGa2Re, from the Alexandria database.

Calculated values
- Size of the total moment: 0.00 μB/cell
- Energy relative to the elements: 107 meV/atom
- Total DFT energy (no corrections): -5.669 eV per atom

Unit cell a=3.0679 b=3.0679 c=9.3165 alpha=80.52 beta=80.52 gamma=60.00
Positions (direct):
Ga1 0.7391 0.7391 0.7826
Re1 0.0000 0.0000 0.0000
Ga2 0.2609 0.2609 0.2174
Dy1 0.5000 0.5000 0.5000

=====

Entry 2:
The following is a PBE calculation of an optimized crystal structure of KAl2Cl, from the Alexandria database.

Calculated values
- Size of the total moment: 0.00 μB/cell
- Total DFT energy (no corrections): -2.209 eV per atom
- Offset from the most stable computed form: 0.845 eV/atom
- E_form (uncorrected): 0.3981 eV per atom

Unit cell a=5.5337 b=5.5337 c=5.5337 alpha=60.00 beta=60.00 gamma=60.00
Positions (direct):
Cl1 0.0000 0.0000 0.0000
K1 0.5000 0.5000 0.5000
Al1 0.2500 0.2500 0.2500
Al2 0.7500 0.7500 0.7500

=====

Entry 3:
The following is a PBE calculation of an optimized crystal structure of InPW2, from the Alexandria database.

Calculated values
- Size of the total moment: 0.00 μB/cell
- Energy relative to the elements: 706 meV/atom
- Total DFT energy (no corrections): -7.808 eV per atom
- Offset from the most stable computed form: 0.617 eV/atom

Unit cell a=3.2461 b=4.6656 c=4.4288 alpha=90.00 beta=90.00 gamma=90.00
Positions (direct):
W1 0.0000 0.0000 0.0000
In1 0.5000 0.0000 0.5000
W2 0.5000 0.5000 0.0000
P1 0.0000 0.5000 0.5000

=====

Entry 4:
The following is a PBE calculation of an optimized crystal structure of Rb2PuTiO6, from the Alexandria database.

Calculated values
- Size of the total moment: 2.00 μB/cell
- Total DFT energy (no corrections): -7.808 eV per atom
- E_form (uncorrected): -2.4167 eV per atom

Unit cell a=5.8772 b=5.8772 c=5.8491 alpha=60.16 beta=60.15 gamma=90.54
Each line ends with the local moment (μB).
Positions (direct):
O1 0.2626 0.7374 0.0000  -0.11
Pu1 0.5000 0.5000 0.0000  2.52
Ti1 0.9998 0.0002 0.0000  0.05
O2 0.2373 0.2372 0.0000  -0.08
O3 0.7627 0.7627 0.4746  -0.08
O4 0.7628 0.7627 0.0000  -0.08
Rb1 0.2500 0.7500 0.5000  0.00
O5 0.2373 0.2373 0.5254  -0.08
O6 0.7375 0.2625 0.0000  -0.11
Rb2 0.7500 0.2500 0.5000  0.00

=====

Entry 5:
The following is a PBE calculation of an optimized crystal structure of Ti4Tc2Pd, from the Alexandria database.

Calculated values
- Size of the total moment: 0.00 μB/cell
- Energy relative to the elements: -275 meV/atom
- Total DFT energy (no corrections): -8.490 eV per atom

Unit cell a=5.3380 b=5.3380 c=5.3380 alpha=108.26 beta=110.08 gamma=110.08
Positions (direct):
Tc1 0.5000 0.5000 0.0000
Ti1 0.5000 0.0000 0.0000
Ti2 0.0000 0.5000 0.0000
Ti3 0.5000 0.5000 0.5000
Pd1 0.0000 0.0000 0.0000
Tc2 0.5000 0.0000 0.5000
Ti4 0.0000 0.0000 0.5000

=====

Entry 6:
The following is a PBE calculation of an optimized crystal structure of NaBSb3, from the Alexandria database.

Calculated values
- Size of the total moment: 0.00 μB/cell
- Total DFT energy (no corrections): -2.406 eV per atom
- Offset from the most stable computed form: 1.125 eV/atom
- E_form (uncorrected): 1.6671 eV per atom

Unit cell a=5.3605 b=5.3605 c=5.3605 alpha=90.00 beta=90.00 gamma=90.00
Positions (direct):
Na1 0.0000 0.0000 0.0000
Sb1 0.0000 0.5000 0.0000
B1 0.5000 0.5000 0.5000
Sb2 0.0000 0.0000 0.5000
Sb3 0.5000 0.0000 0.0000

=====

Entry 7:
The following is a PBE calculation of an optimized crystal structure of CaMgAgIr2, from the Alexandria database.

Calculated values
- Size of the total moment: 0.00 μB/cell
- Energy relative to the elements: 810 meV/atom
- Total DFT energy (no corrections): -4.024 eV per atom

Unit cell a=4.9959 b=4.6430 c=4.9959 alpha=90.00 beta=90.00 gamma=90.00
Positions (direct):
Mg1 0.0000 0.5000 0.0000
Ca1 0.5000 0.5000 0.5000
Ir1 0.0000 0.0000 0.5000
Ir2 0.5000 0.0000 0.0000
Ag1 0.0000 0.0000 0.0000

=====

Computed volume, in the same sequence as the records: 74.6; 119.8; 67.1; 142.9; 117.1; 154.0; 115.9 Å³ per cell.